# 1
# As2IrPt

A geometry-optimized As2IrPt structure (GGA-PBEsol, Alexandria).

Cell: 2.873 4.602 5.544 Å, 114.52 105.02 90.00°
Sites, in units of the cell vectors:
1 As 0.982 0.982 0.965
2 As 0.777 0.277 0.554
3 Ir 0.494 0.494 0.988
4 Pt 0.247 0.747 0.494

Calculated values
Space group: Imm2, No. 44
Calculated total energy in eV/f.u.: -26.6
Magnetization in μB per formula unit: 0.0

=====

# 2
# ZnHg2Sb

A geometry-optimized ZnHg2Sb structure (GGA-PBEsol, Alexandria).

Cell: 4.361 4.664 4.779 Å, 104.71 90.00 90.00°
Sites, in units of the cell vectors:
1 Hg 0.000 0.027 0.977
2 Hg 0.500 0.755 0.243
3 Sb 0.000 0.466 0.534
4 Zn 0.500 0.252 0.746

Calculated values
Space group: Pm, No. 6
Calculated total energy in eV/f.u.: -6.9
Magnetization in μB per formula unit: 0.0
Formation energy without anion corrections in eV/atom: 0.090